Entry 1:
Below is an optimized crystal structure of CaIn3Au3, with properties calculated at the PBE level.

It has space group P2_1/m (No. 11), with a = 8.924 Å, b = 4.767 Å, c = 8.931 Å, α = 90.00°, β = 119.94° and γ = 90.00°. Symmetry generates all atoms from Ca at (0.166, 0.250, 0.333), In at (0.244, 0.250, 0.768), In at (0.269, 0.750, 0.025), In at (0.475, 0.750, 0.744), Au at (0.034, 0.250, 0.924), Au at (0.110, 0.750, 0.533) and Au at (0.424, 0.750, 0.390).

The calculation puts the formation energy at -0.375 eV/atom. As for the magnetic moment: 0.00 μB/f.u. As for the relative energy among the computed polymorphs: 0.000 eV/atom. The calculation puts the total energy at -3.239 eV/atom.

***

Entry 2:
Below is an optimized crystal structure of YV2Si2, with properties calculated at the PBE level.

It has space group P4/mbm (No. 127), with a = 7.625 Å, b = 7.625 Å, c = 2.715 Å, α = 90.00°, β = 90.00° and γ = 90.00°. Symmetry generates all atoms from Y at (0.000, 0.000, 0.000), V at (0.113, 0.387, 0.000) and Si at (0.177, 0.677, 0.500).

As for the magnetic moment: 0.28 μB/f.u. As for the relative energy among the computed polymorphs: 0.370 eV/atom. The calculation puts the total energy at -7.365 eV/atom. The raw formation energy is -256 meV/atom.

***

Entry 3:
Below is an optimized crystal structure of In2ICl, with properties calculated at the PBE level.

It has space group R3m (No. 160, hexagonal axes), with a = 4.6181 Å, b = 4.6181 Å, c = 24.6905 Å, α = 90.00°, β = 90.00° and γ = 120.00°. Symmetry generates all atoms from In at (0.0000, 0.0000, 0.0000), In at (0.0000, 0.0000, 0.1836), I at (0.0000, 0.0000, 0.4246) and Cl at (0.0000, 0.0000, 0.5931).

As for the magnetic moment: 0.00 μB/f.u. As for the relative energy among the computed polymorphs: 0.015 eV/atom. The calculation puts the total energy at -2.822 eV/atom. The raw formation energy is -603 meV/atom.

***

Entry 4:
Below is an optimized crystal structure of MnHgSeN2, with properties calculated at the PBE level.

It has space group P4/mmm (No. 123), with a = 3.708 Å, b = 3.708 Å, c = 5.446 Å, α = 90.00°, β = 90.00° and γ = 90.00°. Symmetry generates all atoms from Mn at (0.000, 0.000, 0.000), Hg at (0.500, 0.500, 0.500), Se at (0.000, 0.000, 0.500) and N at (0.000, 0.500, 0.000).

As for the magnetic moment: 0.00 μB/f.u. As for the relative energy among the computed polymorphs: 0.000 eV/atom. The calculation puts the total energy at -5.275 eV/atom. The raw formation energy is 646 meV/atom.

***

Entry 5:
Below is an optimized crystal structure of Re4Se2I, with properties calculated at the PBE level.

It has space group I4/mmm (No. 139), with a = 4.861 Å, b = 4.861 Å, c = 12.794 Å, α = 90.00°, β = 90.00° and γ = 90.00°. Symmetry generates all atoms from Re at (0.000, 0.000, 0.207), Re at (0.000, 0.500, 0.000), Se at (0.000, 0.000, 0.390) and I at (0.000, 0.000, 0.000).

As for the magnetic moment: 1.55 μB/f.u. The calculation puts the total energy at -5.907 eV/atom. The raw formation energy is 2423 meV/atom.

***

Entry 6:
Below is an optimized crystal structure of Na2ZnCu3Ge4, with properties calculated at the PBE level.

It has space group P-4m2 (No. 115), with a = 4.149 Å, b = 4.149 Å, c = 10.569 Å, α = 90.00°, β = 90.00° and γ = 90.00°. Symmetry generates all atoms from Na at (0.000, 0.500, 0.247), Zn at (0.500, 0.500, 0.000), Cu at (0.000, 0.000, 0.000), Cu at (0.000, 0.500, 0.634), Ge at (0.000, 0.000, 0.500), Ge at (0.000, 0.500, 0.863) and Ge at (0.500, 0.500, 0.500).

The calculation puts the formation energy at -0.019 eV/atom. As for the magnetic moment: 0.00 μB/f.u. The calculation puts the total energy at -3.486 eV/atom.

***

Entry 7:
Below is an optimized crystal structure of Fe2Re2Br, with properties calculated at the PBE level.

It has space group I4/mmm (No. 139), with a = 3.617 Å, b = 3.617 Å, c = 14.491 Å, α = 90.00°, β = 90.00° and γ = 90.00°. Symmetry generates all atoms from Fe at (0.000, 0.000, 0.125), Re at (0.000, 0.500, 0.250) and Br at (0.000, 0.000, 0.500).

As for the magnetic moment: 5.52 μB/f.u. As for the relative energy among the computed polymorphs: 0.031 eV/atom. The calculation puts the total energy at -7.942 eV/atom. The raw formation energy is 757 meV/atom.

***

Entry 8:
Below is an optimized crystal structure of HgBi2Se, with properties calculated at the PBE level.

It has space group R-3m (No. 166, hexagonal axes), with a = 3.8956 Å, b = 3.8956 Å, c = 26.2926 Å, α = 90.00°, β = 90.00° and γ = 120.00°. Symmetry generates all atoms from Hg at (0.0000, 0.0000, 0.0000), Bi at (0.0000, 0.0000, 0.2446) and Se at (0.0000, 0.0000, 0.5000).

As for the magnetic moment: 0.00 μB/f.u. As for the relative energy among the computed polymorphs: 0.000 eV/atom. The calculation puts the total energy at -2.866 eV/atom. The raw formation energy is 21 meV/atom.

***

Entry 9:
Below is an optimized crystal structure of Cs3Sm2PtO6, with properties calculated at the PBE level.

It has space group C2/m (No. 12), with a = 6.951 Å, b = 10.268 Å, c = 7.590 Å, α = 90.00°, β = 116.42° and γ = 90.00°. Symmetry generates all atoms from Cs at (0.000, 0.000, 0.000), Cs at (0.000, 0.335, 0.000), Sm at (0.000, 0.162, 0.500), Pt at (0.000, 0.500, 0.500), O at (0.162, 0.000, 0.719) and O at (0.219, 0.353, 0.628).

As for the magnetic moment: 1.08 μB/f.u. The calculation puts the total energy at -5.848 eV/atom. The raw formation energy is -1866 meV/atom.

***

Entry 10:
Below is an optimized crystal structure of UAgPb2, with properties calculated at the PBE level.

It has space group Fm-3m (No. 225), with a = 7.481 Å, b = 7.481 Å, c = 7.481 Å, α = 90.00°, β = 90.00° and γ = 90.00°. Symmetry generates all atoms from U at (0.000, 0.000, 0.000), Ag at (0.000, 0.000, 0.500) and Pb at (0.250, 0.250, 0.250).

The calculation puts the formation energy at 0.335 eV/atom. As for the magnetic moment: 2.89 μB/f.u. As for the relative energy among the computed polymorphs: 0.162 eV/atom. The calculation puts the total energy at -5.054 eV/atom.

***

Entry 11:
Below is an optimized crystal structure of Nd2Sn2Pd, with properties calculated at the PBE level.

It has space group Ibam (No. 72), with a = 6.754 Å, b = 13.227 Å, c = 6.494 Å, α = 90.00°, β = 90.00° and γ = 90.00°. Symmetry generates all atoms from Nd at (0.204, 0.131, 0.000), Sn at (0.222, 0.377, 0.000) and Pd at (0.000, 0.500, 0.250).

The calculation puts the formation energy at -0.676 eV/atom. As for the magnetic moment: 0.00 μB/f.u. As for the relative energy among the computed polymorphs: 0.164 eV/atom. The calculation puts the total energy at -5.223 eV/atom.

***

Entry 12:
Below is an optimized crystal structure of Sc2TaIr, with properties calculated at the PBE level.

It has space group C2/m (No. 12), with a = 5.685 Å, b = 9.106 Å, c = 2.965 Å, α = 90.00°, β = 108.51° and γ = 90.00°. Symmetry generates all atoms from Sc at (0.250, 0.250, 0.000), Ta at (0.000, 0.000, 0.500) and Ir at (0.000, 0.500, 0.500).

The calculation puts the formation energy at -0.183 eV/atom. As for the magnetic moment: 0.00 μB/f.u. As for the relative energy among the computed polymorphs: 0.217 eV/atom. The calculation puts the total energy at -8.527 eV/atom.